1:
Compound: Sm6Dy4Y
Source: Alexandria via LeMat-Bulk
Functional: GGA-PBE
Structure: relaxed

Results
As for the space group: I-42m.

Cell: 8.6045 8.6045 8.6045 Å, 127.97 127.97 76.67°
Positions (direct):
Sm (0.0000, 0.5000, 0.5000)
Sm (0.0426, 0.5813, 0.0000)
Sm (0.4187, 0.4187, 0.4613)
Sm (0.5000, 0.0000, 0.5000)
Sm (0.5813, 0.0426, 0.0000)
Sm (0.9574, 0.9574, 0.5387)
Dy (0.2553, 0.2553, 0.6693)
Dy (0.4140, 0.7447, 0.0000)
Dy (0.5860, 0.5860, 0.3307)
Dy (0.7447, 0.4140, 0.0000)
Y (0.0000, 0.0000, 0.0000)

***

2:
Compound: Sm6Dy4Y
Source: Alexandria via LeMat-Bulk
Functional: GGA-PBE
Structure: relaxed

Results
As for the space group: Cmcm.

Cell: 5.6446 5.6446 25.6936 Å, 90.00 90.00 117.70°
Positions (direct):
Sm (0.0000, 0.0000, 0.0000)
Sm (0.0000, 0.0000, 0.5000)
Sm (0.0529, 0.9471, 0.7500)
Sm (0.2965, 0.7035, 0.1026)
Sm (0.2965, 0.7035, 0.3974)
Sm (0.3796, 0.6204, 0.6819)
Sm (0.3796, 0.6204, 0.8181)
Sm (0.6204, 0.3796, 0.1820)
Sm (0.6204, 0.3796, 0.3180)
Sm (0.7035, 0.2965, 0.6026)
Sm (0.7035, 0.2965, 0.8974)
Sm (0.9471, 0.0529, 0.2500)
Dy (0.0467, 0.9533, 0.6230)
Dy (0.0467, 0.9533, 0.8770)
Dy (0.3517, 0.6483, 0.5436)
Dy (0.3517, 0.6483, 0.9564)
Dy (0.6483, 0.3517, 0.0436)
Dy (0.6483, 0.3517, 0.4564)
Dy (0.9533, 0.0467, 0.1230)
Dy (0.9533, 0.0467, 0.3770)
Y (0.2852, 0.7148, 0.2500)
Y (0.7148, 0.2852, 0.7500)

***

Here is how they stack up, most stable first: 2, 1.

***

1:
Compound: Sm3Dy4Y
Source: Alexandria via LeMat-Bulk
Functional: GGA-PBE
Structure: relaxed

Results
As for the space group: C2/m.

Cell: 11.8898 11.8898 6.7294 Å, 106.38 106.38 16.91°
Positions (direct):
Sm (0.0000, 0.0000, 0.0000)
Sm (0.1262, 0.1262, 0.8707)
Sm (0.8738, 0.8738, 0.1293)
Dy (0.1248, 0.1248, 0.3830)
Dy (0.2599, 0.2599, 0.2661)
Dy (0.7401, 0.7401, 0.7339)
Dy (0.8752, 0.8752, 0.6170)
Y (0.5000, 0.5000, 0.5000)

***

2:
Compound: Sm3Dy4Y
Source: Alexandria via LeMat-Bulk
Functional: GGA-PBE
Structure: relaxed

Results
As for the space group: Pmn2_1.

Cell: 11.4069 7.3095 6.3125 Å, 90.00 90.00 90.00°
Positions (direct):
Sm (0.0000, 0.1273, 0.0000)
Sm (0.2503, 0.1264, 0.3342)
Sm (0.2497, 0.8736, 0.8342)
Sm (0.5000, 0.8727, 0.5000)
Sm (0.7497, 0.1264, 0.3342)
Sm (0.7503, 0.8736, 0.8342)
Dy (0.0000, 0.3765, 0.5001)
Dy (0.0000, 0.6225, 0.0000)
Dy (0.2493, 0.6228, 0.3320)
Dy (0.2507, 0.3772, 0.8320)
Dy (0.5000, 0.3775, 0.5000)
Dy (0.5000, 0.6235, 0.0001)
Dy (0.7493, 0.3772, 0.8320)
Dy (0.7507, 0.6228, 0.3320)
Y (0.0000, 0.8727, 0.4992)
Y (0.5000, 0.1273, 0.9992)

***

Here is how they stack up, most stable first: 2, 1.